DFT (PBE-GGA) results for a relaxed NaGaTe2 crystal.

The structure in CIF format:
```
data_NaGaTe2
_chemical_formula_sum 'Na4 Ga4 Te8'
_cell_length_a 6.595
_cell_length_b 10.625
_cell_length_c 7.116
_cell_angle_alpha 90.00
_cell_angle_beta 117.51
_cell_angle_gamma 90.00
_symmetry_space_group_name_H-M 'C 1 2/c 1'
_symmetry_Int_Tables_number 15
_symmetry_space_group_name_Hall '-C 2yc'
loop_
_atom_site_label
_atom_site_type_symbol
_atom_site_fract_x
_atom_site_fract_y
_atom_site_fract_z
Na1 Na 0.000 0.125 0.250
Ga1 Ga 0.000 0.377 0.750
Te1 Te 0.245 0.375 0.239
```

* mass density: 5.225 g cm⁻³
* crystal system: monoclinic
* E_form (uncorrected): -0.352 eV/atom
* E: -3.01 eV per atom

---

DFT (PBE-GGA) results for a relaxed FeRh2Se crystal.

The structure in CIF format:
```
data_FeRh2Se
_chemical_formula_sum 'Fe2 Rh4 Se2'
_cell_length_a 8.459
_cell_length_b 2.949
_cell_length_c 4.763
_cell_angle_alpha 90.00
_cell_angle_beta 100.17
_cell_angle_gamma 90.00
_symmetry_space_group_name_H-M 'C 1 2/m 1'
_symmetry_Int_Tables_number 12
_symmetry_space_group_name_Hall '-C 2y'
loop_
_atom_site_label
_atom_site_type_symbol
_atom_site_fract_x
_atom_site_fract_y
_atom_site_fract_z
Fe1 Fe 0.000 0.000 0.000
Rh1 Rh 0.246 0.500 0.241
Se1 Se 0.000 0.500 0.500
```

* mass density: 9.674 g cm⁻³
* crystal system: monoclinic
* E_form (uncorrected): 0.087 eV/atom
* E: -6.58 eV per atom

---

DFT (PBE-GGA) results for a relaxed La2Pt2I crystal.

The structure in CIF format:
```
data_La2Pt2I
_chemical_formula_sum 'La4 Pt4 I2'
_cell_length_a 4.055
_cell_length_b 4.055
_cell_length_c 17.339
_cell_angle_alpha 90.00
_cell_angle_beta 90.00
_cell_angle_gamma 90.00
_symmetry_space_group_name_H-M 'I 4/m m m'
_symmetry_Int_Tables_number 139
_symmetry_space_group_name_Hall '-I 4 2'
loop_
_atom_site_label
_atom_site_type_symbol
_atom_site_fract_x
_atom_site_fract_y
_atom_site_fract_z
La1 La 0.000 0.000 0.130
Pt1 Pt 0.000 0.500 0.250
I1 I 0.000 0.000 0.500
```

* mass density: 9.259 g cm⁻³
* crystal system: tetragonal
* E_form (uncorrected): -1.034 eV/atom
* E: -5.73 eV per atom

---

Question: Which of these has the lowest E_form (uncorrected)?
Answer: La2Pt2I

---

Question: Which of these has the highest E?
Answer: NaGaTe2

---

Repeat the third record exactly.
DFT (PBE-GGA) results for a relaxed La2Pt2I crystal.

The structure in CIF format:
```
data_La2Pt2I
_chemical_formula_sum 'La4 Pt4 I2'
_cell_length_a 4.055
_cell_length_b 4.055
_cell_length_c 17.339
_cell_angle_alpha 90.00
_cell_angle_beta 90.00
_cell_angle_gamma 90.00
_symmetry_space_group_name_H-M 'I 4/m m m'
_symmetry_Int_Tables_number 139
_symmetry_space_group_name_Hall '-I 4 2'
loop_
_atom_site_label
_atom_site_type_symbol
_atom_site_fract_x
_atom_site_fract_y
_atom_site_fract_z
La1 La 0.000 0.000 0.130
Pt1 Pt 0.000 0.500 0.250
I1 I 0.000 0.000 0.500
```

* mass density: 9.259 g cm⁻³
* crystal system: tetragonal
* E_form (uncorrected): -1.034 eV/atom
* E: -5.73 eV per atom

---

Question: The lowest E belongs to which entry?
Answer: FeRh2Se